{
  "formula": "NaMn2SnSe4",
  "functional": "PBE",
  "state": "relaxed",
  "cell": [[6.992, 0.000, 0.000], [0.000, 7.690, 0.000], [0.000, 0.000, 8.646]],
  "species": ["Se", "Mn", "Na", "Se", "Se", "Na", "Se", "Mn", "Se", "Se", "Se", "Mn", "Sn", "Mn", "Sn", "Se"],
  "frac_coords": [[0.910, 0.818, 0.000], [0.997, 0.657, 0.247], [0.496, 0.845, 0.000], [0.386, 0.208, 0.000], [0.859, 0.356, 0.756], [0.996, 0.155, 0.500], [0.886, 0.792, 0.500], [0.497, 0.343, 0.747], [0.359, 0.644, 0.744], [0.859, 0.356, 0.244], [0.359, 0.644, 0.256], [0.497, 0.343, 0.253], [0.496, 0.825, 0.500], [0.997, 0.657, 0.753], [0.996, 0.175, 0.000], [0.410, 0.182, 0.500]],
  "total_magnetization_mub_per_atom": 1.128,
  "dos_at_fermi_per_ev_atom": 0.1418,
  "energy_ev_per_cell": -83.65,
  "space_group": "Pmn2_1, No. 31",
  "e_form_raw_mev_per_atom": -528,
  "mass_density_kg_m3": 4054
}